# Y2CuSi4Pd3

Y2CuSi4Pd3 after structural relaxation (GGA-PBE, Alexandria via LeMat-Bulk).

## Properties
Crystal system = tetragonal
E = -6.230 eV per atom
Volume = 17.107 A^3/atom
E_form (uncorrected) = -0.80 eV/atom

Cell: 4.117 4.117 10.095 Å, 90.00 90.00 90.00°
Positions (direct):
Y: 0.000 0.500 0.246
Y: 0.500 0.000 0.754
Cu: 0.500 0.500 0.000
Si: 0.000 0.000 0.500
Si: 0.000 0.500 0.867
Si: 0.500 0.000 0.133
Si: 0.500 0.500 0.500
Pd: 0.000 0.000 0.000
Pd: 0.000 0.500 0.628
Pd: 0.500 0.000 0.372